# TmCr2SnO6 | Alexandria | PBE with a Hubbard U | relaxed
# Total energy, eV for the cell shown: -75.17
# V, A^3/atom: 12.24
data_TmCr2SnO6
_cell_length_a 5.3138
_cell_length_b 5.3977
_cell_length_c 5.6907
_cell_angle_alpha 63.30
_cell_angle_beta 89.90
_cell_angle_gamma 60.89
_symmetry_space_group_name_H-M 'P 1'
_symmetry_Int_Tables_number 1
_symmetry_space_group_name_Hall 'P 1'
loop_
_atom_site_label
_atom_site_type_symbol
_atom_site_fract_x
_atom_site_fract_y
_atom_site_fract_z
_atom_site_occupancy
Tm1 Tm 0.0000 0.0000 0.0000 1
Cr1 Cr 0.2125 0.5765 0.6193 1
Cr2 Cr 0.7194 0.5548 0.1506 1
Sn1 Sn 0.5174 0.9695 0.5363 1
O1 O 0.1415 0.0321 0.3554 1
O2 O 0.3107 0.1141 0.8087 1
O3 O 0.4232 0.4529 0.3488 1
O4 O 0.5840 0.4900 0.8329 1
O5 O 0.8201 0.7611 0.3470 1
O6 O 0.9241 0.7416 0.8318 1